Material: V2NiO5
Method: DFT, PBE with a Hubbard U
State: optimized geometry

Output
Calculated volume in A^3/atom: 13.0
Calculated total energy in eV per atom: -7.011

Lattice parameters (Å, degrees): 3.799 9.961 11.013 90.00 90.00 90.00
Space group Cmcm (No. 63)
Symmetry-distinct sites (fractional):
1 V 0.000 0.199 0.097 [8 per cell]
2 Ni 0.000 0.114 0.750 [4 per cell]
3 O 0.000 0.035 0.127 [8 per cell]
4 O 0.000 0.243 0.579 [8 per cell]
5 O 0.000 0.307 0.250 [4 per cell]